VASP calculation (PBE) on crystalline Y3HoPb4 at its relaxed geometry.

## Properties
The energy of formation is -0.465 eV per atom. The density of states at the Fermi level comes out at 0.637 states/eV per atom. Its symmetry is No. 53.

Unit cell a=11.181 b=6.404 c=6.406 alpha=90.00 beta=90.00 gamma=90.00
Element x y z (fractional)
Y (0.000, 0.000, 0.000)
Y (0.250, 0.251, 0.250)
Y (0.250, 0.749, 0.750)
Y (0.500, 0.000, 0.500)
Y (0.750, 0.251, 0.250)
Y (0.750, 0.749, 0.750)
Ho (0.000, 0.500, 0.500)
Ho (0.500, 0.500, 0.000)
Pb (0.000, 0.000, 0.500)
Pb (0.000, 0.500, 0.000)
Pb (0.250, 0.249, 0.750)
Pb (0.250, 0.751, 0.250)
Pb (0.500, 0.000, 0.000)
Pb (0.500, 0.500, 0.500)
Pb (0.750, 0.249, 0.750)
Pb (0.750, 0.751, 0.250)


VASP calculation (PBE) on crystalline Tb9Nd11Th4 at its relaxed geometry.

## Properties
The energy of formation is 0.112 eV per atom. The density of states at the Fermi level comes out at 1.432 states/eV per atom. Its symmetry is No. 65.

Unit cell a=15.519 b=15.519 c=3.709 alpha=90.00 beta=90.00 gamma=112.81
Element x y z (fractional)
Tb (0.000, 0.000, 0.000)
Tb (0.135, 0.663, 0.000)
Tb (0.288, 0.433, 0.000)
Tb (0.337, 0.865, 0.000)
Tb (0.433, 0.288, 0.000)
Tb (0.567, 0.712, 0.000)
Tb (0.663, 0.135, 0.000)
Tb (0.712, 0.567, 0.000)
Tb (0.865, 0.337, 0.000)
Nd (0.091, 0.455, 0.500)
Nd (0.132, 0.868, 0.500)
Nd (0.206, 0.206, 0.500)
Nd (0.342, 0.658, 0.500)
Nd (0.455, 0.091, 0.500)
Nd (0.500, 0.500, 0.500)
Nd (0.545, 0.909, 0.500)
Nd (0.658, 0.342, 0.500)
Nd (0.794, 0.794, 0.500)
Nd (0.868, 0.132, 0.500)
Nd (0.909, 0.545, 0.500)
Th (0.055, 0.260, 0.000)
Th (0.260, 0.055, 0.000)
Th (0.740, 0.945, 0.000)
Th (0.945, 0.740, 0.000)


VASP calculation (PBE) on crystalline Ba2AgTe2S6 at its relaxed geometry.

## Properties
As for the uncorrected formation energy: -0.6383 eV/atom. The density of states at the Fermi level comes out at 0.194 states/eV per atom. Its symmetry is No. 166.

Unit cell a=8.315 b=8.315 c=8.315 alpha=51.67 beta=51.67 gamma=51.67
Element x y z (fractional)
Ba (0.216, 0.216, 0.216)
Ba (0.784, 0.784, 0.784)
Ag (0.000, 0.000, 0.000)
Te (0.396, 0.396, 0.396)
Te (0.604, 0.604, 0.604)
S (0.200, 0.763, 0.763)
S (0.237, 0.237, 0.800)
S (0.237, 0.800, 0.237)
S (0.763, 0.200, 0.763)
S (0.763, 0.763, 0.200)
S (0.800, 0.237, 0.237)


VASP calculation (PBE) on crystalline Pr2CuIr at its relaxed geometry.

## Properties
The energy of formation is -0.355 eV per atom. The density of states at the Fermi level comes out at 0.732 states/eV per atom. Its symmetry is No. 123.

Unit cell a=5.039 b=5.039 c=3.642 alpha=90.00 beta=90.00 gamma=90.00
Element x y z (fractional)
Pr (0.000, 0.500, 0.000)
Pr (0.500, 0.000, 0.000)
Cu (0.000, 0.000, 0.500)
Ir (0.500, 0.500, 0.500)


VASP calculation (PBE) on crystalline Pr4SbPSe2 at its relaxed geometry.

## Properties
As for the uncorrected formation energy: -1.6205 eV/atom. The density of states at the Fermi level comes out at 0.464 states/eV per atom. Its symmetry is No. 10.

Unit cell a=7.480 b=4.321 c=7.561 alpha=90.00 beta=109.40 gamma=90.00
Element x y z (fractional)
Pr (0.239, 0.000, 0.232)
Pr (0.249, 0.500, 0.766)
Pr (0.751, 0.500, 0.234)
Pr (0.761, 0.000, 0.768)
Sb (0.000, 0.000, 0.500)
P (0.000, 0.500, 0.000)
Se (0.500, 0.000, 0.000)
Se (0.500, 0.500, 0.500)


VASP calculation (PBE) on crystalline Ga2As2I at its relaxed geometry.

## Properties
As for the uncorrected formation energy: 0.1061 eV/atom. The density of states at the Fermi level comes out at 0.807 states/eV per atom. Its polymorph energy (0 for the lowest one) is 1.030 eV per formula unit. Its symmetry is No. 139.

Unit cell a=6.371 b=6.371 c=6.371 alpha=137.93 beta=137.93 gamma=61.01
Element x y z (fractional)
Ga (0.116, 0.116, 0.000)
Ga (0.884, 0.884, 0.000)
As (0.250, 0.750, 0.500)
As (0.750, 0.250, 0.500)
I (0.500, 0.500, 0.000)


VASP calculation (PBE) on crystalline Sc2TiAl at its relaxed geometry.

## Properties
The energy of formation is -0.078 eV per atom. The density of states at the Fermi level comes out at 0.897 states/eV per atom. Its symmetry is No. 160.

Unit cell a=9.778 b=9.778 c=9.778 alpha=18.47 beta=18.47 gamma=18.47
Element x y z (fractional)
Sc (0.000, 0.000, 0.000)
Sc (0.167, 0.167, 0.167)
Ti (0.417, 0.417, 0.417)
Al (0.583, 0.583, 0.583)


VASP calculation (PBE) on crystalline LiFeIr at its relaxed geometry.

## Properties
The energy of formation is 0.003 eV per atom. The density of states at the Fermi level comes out at 0.889 states/eV per atom. Its polymorph energy (0 for the lowest one) is 0.125 eV per formula unit. Its symmetry is No. 74.

Unit cell a=4.893 b=4.893 c=4.893 alpha=131.98 beta=115.53 gamma=84.27
Element x y z (fractional)
Li (0.429, 0.179, 0.250)
Li (0.571, 0.821, 0.750)
Fe (0.092, 0.842, 0.250)
Fe (0.908, 0.158, 0.750)
Ir (0.000, 0.500, 0.500)
Ir (0.500, 0.500, 0.000)


VASP calculation (PBE) on crystalline Si3PtC at its relaxed geometry.

## Properties
As for the uncorrected formation energy: 0.5460 eV/atom. The density of states at the Fermi level comes out at 0.349 states/eV per atom. Its polymorph energy (0 for the lowest one) is 0.000 eV per formula unit. Its symmetry is No. 221.

Unit cell a=3.993 b=3.993 c=3.993 alpha=90.00 beta=90.00 gamma=90.00
Element x y z (fractional)
Si (0.000, 0.000, 0.500)
Si (0.000, 0.500, 0.000)
Si (0.500, 0.000, 0.000)
Pt (0.500, 0.500, 0.500)
C (0.000, 0.000, 0.000)


VASP calculation (PBE) on crystalline BaMgF4 at its relaxed geometry.

## Properties
As for the uncorrected formation energy: -3.7110 eV/atom. The density of states at the Fermi level comes out at 0.000 states/eV per atom. Its symmetry is No. 36.

Unit cell a=7.724 b=7.724 c=5.942 alpha=90.00 beta=90.00 gamma=148.81
Element x y z (fractional)
Ba (0.151, 0.849, 0.500)
Ba (0.849, 0.151, 0.000)
Mg (0.416, 0.584, 0.457)
Mg (0.584, 0.416, 0.957)
F (0.078, 0.922, 0.942)
F (0.304, 0.696, 0.269)
F (0.338, 0.662, 0.725)
F (0.473, 0.527, 0.141)
F (0.527, 0.473, 0.641)
F (0.662, 0.338, 0.225)
F (0.696, 0.304, 0.769)
F (0.922, 0.078, 0.442)


VASP calculation (PBE) on crystalline PrY2HoTm2 at its relaxed geometry.

## Properties
The energy of formation is 0.272 eV per atom. The density of states at the Fermi level comes out at 1.681 states/eV per atom. Its symmetry is No. 58.

Unit cell a=6.472 b=17.890 c=3.417 alpha=90.00 beta=90.00 gamma=90.00
Element x y z (fractional)
Pr (0.000, 0.000, 0.000)
Pr (0.500, 0.500, 0.500)
Y (0.216, 0.189, 0.000)
Y (0.284, 0.689, 0.500)
Y (0.716, 0.311, 0.500)
Y (0.784, 0.811, 0.000)
Ho (0.000, 0.500, 0.000)
Ho (0.500, 0.000, 0.500)
Tm (0.214, 0.354, 0.500)
Tm (0.286, 0.854, 0.000)
Tm (0.714, 0.146, 0.000)
Tm (0.786, 0.646, 0.500)


VASP calculation (PBE) on crystalline BaSrP2S8 at its relaxed geometry.

## Properties
As for the uncorrected formation energy: -0.7443 eV/atom. The density of states at the Fermi level comes out at 0.869 states/eV per atom. Its symmetry is No. 147.

Unit cell a=6.018 b=6.018 c=10.177 alpha=90.00 beta=90.00 gamma=120.00
Element x y z (fractional)
Ba (0.000, 0.000, 0.000)
Sr (0.000, 0.000, 0.500)
P (0.333, 0.667, 0.775)
P (0.667, 0.333, 0.225)
S (0.004, 0.347, 0.715)
S (0.333, 0.667, 0.976)
S (0.343, 0.996, 0.715)
S (0.347, 0.343, 0.285)
S (0.653, 0.657, 0.715)
S (0.657, 0.004, 0.285)
S (0.667, 0.333, 0.024)
S (0.996, 0.653, 0.285)